No. 1
## K2UPdSe4 (GGA-PBE)

Data for crystalline K2UPdSe4 at its relaxed geometry.

Total magnetic moment = 4.03 μB/cell
E_tot = -78.1 eV/cell
Raw formation energy = -0.81 eV per atom

Cell lengths 7.741, 7.741, 8.056 Å; angles 90.00, 90.00, 90.00 degrees
Space group I-4 (No. 82)
Inequivalent atoms, fractional coordinates:
K 0.000 0.000 0.000
K 0.000 0.500 0.250
U 0.000 0.000 0.500
Pd 0.000 0.500 0.750
Se 0.177 0.761 0.684

---

No. 2
## Dy2Y6Er3Pu (GGA-PBE)

Data for crystalline Dy2Y6Er3Pu at its relaxed geometry.

Total magnetic moment = 12.98 μB/cell
E_tot = -150.8 eV/cell
Calculated formation energy = 0.05 eV per atom

Cell lengths 6.131, 10.620, 11.698 Å; angles 90.00, 100.08, 90.00 degrees
Space group C2/m (No. 12)
Inequivalent atoms, fractional coordinates:
Dy 0.000 0.167 0.000
Y 0.247 0.500 0.751
Y 0.248 0.335 0.249
Er 0.000 0.000 0.500
Er 0.000 0.333 0.500
Pu 0.000 0.500 0.000